1.
# NaScPa

Crystalline NaScPa at its relaxed geometry (PBE, the Open Quantum Materials Database).

Cell: 7.3598 7.3598 7.3598 Å, 90.00 90.00 90.00°
Closest atoms and distances in Å follow each position.
Space group F-43m (No. 216)
Symmetry-distinct sites (fractional):
Na1 0.0000 0.0000 0.0000  4 Pa 3.19
Sc1 0.0000 0.0000 0.5000  4 Pa 3.19
Pa1 0.2500 0.2500 0.2500  4 Na 3.19, 4 Sc 3.19

* E above lowest polymorph: 4.167 kcal/mol of atoms
* total energy: -4.068 eV per atom

2.
# Na5PaSe5

Crystalline Na5PaSe5 at its relaxed geometry (PBE, the Open Quantum Materials Database).

Cell: 13.8198 5.7205 8.2346 Å, 90.00 108.28 90.00°
Closest atoms and distances in Å follow each position.
Space group C2/m (No. 12)
Symmetry-distinct sites (fractional):
Na1 0.0000 0.0000 0.0000  4 Se 2.81-2.98
Na2 0.1842 0.5000 0.3613  5 Se 2.89-3.10
Na3 0.1942 0.5000 0.8258  5 Se 2.91-3.14
Pa1 0.0000 0.0000 0.5000  6 Se 2.77-2.86
Se1 0.0000 0.5000 0.5000  2 Pa 2.86, 4 Na 3.10-3.14
Se2 0.1432 0.0000 0.3290  1 Pa 2.77, 5 Na 2.81-2.91
Se3 0.1535 0.0000 0.8141  1 Pa 2.78, 5 Na 2.91-3.05

* total energy: -4.283 eV per atom

3.
# NaPaTlSe3

Crystalline NaPaTlSe3 at its relaxed geometry (PBE, the Open Quantum Materials Database).

Cell: 4.2396 14.9681 11.7586 Å, 90.00 90.00 90.00°
Closest atoms and distances in Å follow each position.
Space group Cmcm (No. 63)
Symmetry-distinct sites (fractional):
Na1 0.0000 0.1101 0.2500  4 Se 2.79-2.95
Pa1 0.0000 0.5000 0.0000  6 Se 2.85-2.97
Tl1 0.0000 0.1787 0.7500  4 Se 3.11-3.20
Se1 0.0000 0.1270 0.0140  1 Na 2.79, 2 Pa 2.85
Se2 0.0000 0.4730 0.2500  2 Na 2.95, 2 Pa 2.97, 2 Tl 3.11

* total energy: -4.969 eV per atom

4.
# NaPaSi

Crystalline NaPaSi at its relaxed geometry (PBE, the Open Quantum Materials Database).

Cell: 6.7367 6.7367 6.7367 Å, 90.00 90.00 90.00°
Closest atoms and distances in Å follow each position.
Space group F-43m (No. 216)
Symmetry-distinct sites (fractional):
Na1 0.0000 0.0000 0.0000  4 Si 2.92
Pa1 0.0000 0.0000 0.5000  4 Si 2.92
Si1 0.2500 0.2500 0.2500  4 Na 2.92, 4 Pa 2.92

* E above lowest polymorph: 0.000 kcal/mol of atoms
* total energy: -5.032 eV per atom

5.
# NaPaTa

Crystalline NaPaTa at its relaxed geometry (PBE, the Open Quantum Materials Database).

Cell: 6.7565 6.7565 6.7565 Å, 90.00 90.00 90.00°
Closest atoms and distances in Å follow each position.
Space group F-43m (No. 216)
Symmetry-distinct sites (fractional):
Na1 0.0000 0.0000 0.0000  4 Ta 2.93
Pa1 0.0000 0.0000 0.5000  4 Ta 2.93
Ta1 0.2500 0.2500 0.7500  4 Na 2.93, 4 Pa 2.93

* E above lowest polymorph: 0.000 kcal/mol of atoms
* total energy: -6.026 eV per atom

6.
# NaPaTc

Crystalline NaPaTc at its relaxed geometry (PBE, the Open Quantum Materials Database).

Cell: 6.3615 6.3615 6.3615 Å, 90.00 90.00 90.00°
Closest atoms and distances in Å follow each position.
Space group F-43m (No. 216)
Symmetry-distinct sites (fractional):
Na1 0.0000 0.0000 0.0000  4 Pa 2.75, 4 Tc 2.75
Pa1 0.2500 0.2500 0.7500  4 Na 2.75
Tc1 0.2500 0.2500 0.2500  4 Na 2.75

* total energy: -5.616 eV per atom

7.
# NaPaTe

Crystalline NaPaTe at its relaxed geometry (PBE, the Open Quantum Materials Database).

Cell: 7.1989 7.1989 7.1989 Å, 90.00 90.00 90.00°
Closest atoms and distances in Å follow each position.
Space group F-43m (No. 216)
Symmetry-distinct sites (fractional):
Na1 0.0000 0.0000 0.0000  4 Te 3.12
Pa1 0.0000 0.0000 0.5000  4 Te 3.12
Te1 0.2500 0.2500 0.2500  4 Na 3.12, 4 Pa 3.12

* E above lowest polymorph: 0.000 kcal/mol of atoms
* total energy: -4.448 eV per atom

8.
# NaThPa

Crystalline NaThPa at its relaxed geometry (PBE, the Open Quantum Materials Database).

Cell: 7.2711 7.2711 7.2711 Å, 90.00 90.00 90.00°
Closest atoms and distances in Å follow each position.
Space group F-43m (No. 216)
Symmetry-distinct sites (fractional):
Na1 0.0000 0.0000 0.0000  4 Pa 3.15
Th1 0.0000 0.0000 0.5000  4 Pa 3.15
Pa1 0.2500 0.2500 0.2500  4 Th 3.15, 4 Na 3.15

* E above lowest polymorph: 0.000 kcal/mol of atoms
* total energy: -4.681 eV per atom

Which of these has the lowest total energy?
NaPaTa

What is the total energy in the first record?
-4.068 eV per atom

Please write out number 1 again, unchanged.
# NaScPa

Crystalline NaScPa at its relaxed geometry (PBE, the Open Quantum Materials Database).

Cell: 7.3598 7.3598 7.3598 Å, 90.00 90.00 90.00°
Closest atoms and distances in Å follow each position.
Space group F-43m (No. 216)
Symmetry-distinct sites (fractional):
Na1 0.0000 0.0000 0.0000  4 Pa 3.19
Sc1 0.0000 0.0000 0.5000  4 Pa 3.19
Pa1 0.2500 0.2500 0.2500  4 Na 3.19, 4 Sc 3.19

* E above lowest polymorph: 4.167 kcal/mol of atoms
* total energy: -4.068 eV per atom